(1)
First-principles (PBE) data for a relaxed structure of Sr5Cd2Rh2, as listed in Alexandria via LeMat-Bulk.

The space group is Cmce (No. 64) and the conventional cell measures 17.454, 8.157 and 8.184 Å, with angles of 90.00, 90.00 and 90.00 degrees. The asymmetric unit holds Sr at (0.000, 0.000, 0.000), Sr at (0.119, 0.172, 0.328), Cd at (0.216, 0.000, 0.000) and Rh at (0.000, 0.116, 0.617).

The spin magnetization comes out at 0.0 μB per formula unit. As for the formation energy from the elements: -0.2297 eV per atom. As for the crystal system: orthorhombic.



(2)
First-principles (PBE) data for a relaxed structure of Ba2ZrBr, as listed in Alexandria via LeMat-Bulk.

The space group is I-4m2 (No. 119) and the conventional cell measures 4.867, 4.867 and 13.732 Å, with angles of 90.00, 90.00 and 90.00 degrees. The asymmetric unit holds Ba at (0.000, 0.000, 0.000), Ba at (0.000, 0.500, 0.250), Zr at (0.000, 0.000, 0.500) and Br at (0.000, 0.500, 0.750).

For the uncorrected formation energy, the calculation gives 0.08 eV per atom. The spin magnetization comes out at 3.2 μB per formula unit. The excess energy over the best structure of this formula in the dataset is 0.375 eV/atom. As for the crystal system: tetragonal.



(3)
First-principles (PBE) data for a relaxed structure of OsBr3O, as listed in Alexandria via LeMat-Bulk.

The space group is Pm-3m (No. 221) and the conventional cell measures 4.729, 4.729 and 4.729 Å, with angles of 90.00, 90.00 and 90.00 degrees. The asymmetric unit holds Os at (0.000, 0.000, 0.000), Br at (0.000, 0.500, 0.500) and O at (0.500, 0.500, 0.500).

For the uncorrected formation energy, the calculation gives 1.56 eV per atom. The spin magnetization comes out at 4.1 μB per formula unit. The excess energy over the best structure of this formula in the dataset is 1.711 eV/atom. As for the crystal system: cubic.



(4)
First-principles (PBE) data for a relaxed structure of FeCu2Tc, as listed in Alexandria via LeMat-Bulk.

The space group is I4/mmm (No. 139) and the conventional cell measures 3.600, 3.600 and 7.757 Å, with angles of 90.00, 90.00 and 90.00 degrees. The asymmetric unit holds Fe at (0.000, 0.000, 0.000), Cu at (0.000, 0.500, 0.250) and Tc at (0.000, 0.000, 0.500).

The spin magnetization comes out at 1.9 μB per formula unit. The excess energy over the best structure of this formula in the dataset is 0.163 eV/atom. As for the formation energy from the elements: 0.3142 eV per atom. As for the crystal system: tetragonal.